[1]
A relaxed structure of SrTlZn2. Source: the Alexandria database, functional PBE-GGA.

The calculation puts the energy at -1.72 eV/atom. As for the calculated volume: 197.90 Å³ per cell. Its total magnetization is 0.0 μB per formula unit.

It has space group I-4m2 (No. 119), with a = 5.222 Å, b = 5.222 Å, c = 7.257 Å, α = 90.00°, β = 90.00° and γ = 90.00°. The asymmetric unit holds Sr at (0.000, 0.000, 0.000), Tl at (0.000, 0.500, 0.250), Zn at (0.000, 0.000, 0.500) and Zn at (0.000, 0.500, 0.750).

---

[2]
A relaxed structure of SrTlZn2. Source: the Alexandria database, functional PBE-GGA.

The calculation puts the energy at -1.84 eV/atom. As for the calculated volume: 209.95 Å³ per cell. Its total magnetization is 0.0 μB per formula unit.

It has space group Cm (No. 8), with a = 7.820 Å, b = 4.496 Å, c = 6.507 Å, α = 90.00°, β = 113.41° and γ = 90.00°. The asymmetric unit holds Sr at (0.000, 0.000, 0.000), Tl at (0.291, 0.500, 0.371), Zn at (0.044, 0.500, 0.633) and Zn at (0.211, 0.000, 0.632).